An optimized crystal structure of AcLa2I. Source: Alexandria via LeMat-Bulk, functional PBE-GGA.

POSCAR file:
```
AcLa2I
1.0
3.850 0.000 0.000
0.000 3.850 0.000
0.000 0.000 9.916
Ac I La
1 1 2
Cartesian
1.925 1.925 0.000
1.925 1.925 4.958
0.000 0.000 2.622
0.000 0.000 7.293
```

Summary:
DOS at the Fermi energy = 4.4 states/eV/cell
Excess energy over the best structure of this formula in the dataset = 39.1 meV per atom
VASP energy = -4.28 eV/atom